A plane-wave DFT calculation with PBE was carried out for a geometry-optimized CsTlOF2 structure.

a b c (Å): 4.811 4.811 4.138
angles (deg): 90.00 90.00 90.00
Fractional coordinates of all 5 atoms:
O 0.000 0.000 0.500
F 0.500 0.000 0.000
F 0.000 0.500 0.000
Tl 0.000 0.000 0.000
Cs 0.500 0.500 0.500

Excess energy over the best structure of this formula in the dataset: 0.000 eV per atom

A plane-wave DFT calculation with PBE was carried out for a geometry-optimized CsTl2OF structure.

a b c (Å): 4.224 8.197 10.239
angles (deg): 111.52 90.00 90.00
Fractional coordinates of all 10 atoms:
Cs 0.250 0.507 0.694
Cs 0.750 0.493 0.306
O 0.250 0.926 0.855
O 0.750 0.074 0.145
Tl 0.750 0.132 0.938
Tl 0.750 0.023 0.354
Tl 0.250 0.977 0.646
Tl 0.250 0.868 0.062
F 0.750 0.329 0.509
F 0.250 0.671 0.491

A plane-wave DFT calculation with PBE was carried out for a geometry-optimized Cs2TmOF3 structure.

a b c (Å): 4.368 4.502 8.267
angles (deg): 105.80 105.32 90.00
Fractional coordinates of all 7 atoms:
Tm 0.000 0.000 0.000
F 0.000 0.500 0.000
F 0.855 0.855 0.711
F 0.145 0.145 0.289
Cs 0.648 0.648 0.297
Cs 0.352 0.352 0.703
O 0.500 0.000 0.000

A plane-wave DFT calculation with PBE was carried out for a geometry-optimized Cs2UO2F4 structure.

a b c (Å): 5.131 6.588 6.588
angles (deg): 61.65 88.42 88.42
Fractional coordinates of all 9 atoms:
U 0.500 0.000 0.000
F 0.279 0.158 0.676
F 0.279 0.676 0.158
F 0.721 0.324 0.842
F 0.721 0.842 0.324
Cs 0.810 0.335 0.335
Cs 0.190 0.665 0.665
O 0.281 0.133 0.133
O 0.719 0.867 0.867

| no. | E_form (uncorrected) (meV per atom) |
| --- | --- |
| 1 | -1745 |
| 2 | -1303 |
| 3 | -3153 |
| 4 | -3147 |